Pm4Nd11Y9 | GGA-PBE | optimized geometry

a = 3.7315 Å, b = 15.4676 Å, c = 15.4676 Å
α = 112.90°, β = 90.00°, γ = 90.00°
Closest atoms and distances in Å follow each position.
Fractional coordinates of all 24 atoms:
Nd  0.0000  0.4075  0.0455  2 Pm 3.44, 6 Y 3.57-3.75, 3 Nd 3.65-3.73
Nd  0.0000  0.6331  0.3669  4 Pm 3.35, 4 Y 3.66, 2 Nd 3.73
Nd  0.0000  0.0455  0.4075  2 Pm 3.44, 6 Y 3.57-3.75, 3 Nd 3.65-3.73
Nd  0.0000  0.9545  0.5925  2 Pm 3.44, 6 Y 3.57-3.75, 3 Nd 3.65-3.73
Nd  0.0000  0.3669  0.6331  4 Pm 3.35, 4 Y 3.66, 2 Nd 3.73
Nd  0.0000  0.7088  0.7088  4 Pm 3.33, 4 Y 3.71
Nd  0.0000  0.2912  0.2912  4 Pm 3.33, 4 Y 3.71
Nd  0.0000  0.0000  0.0000  8 Y 3.56, 2 Nd 3.73
Nd  0.0000  0.5925  0.9545  2 Pm 3.44, 6 Y 3.57-3.75, 3 Nd 3.65-3.73
Nd  0.0000  0.1592  0.8408  8 Y 3.73-3.75, 5 Nd 3.73-4.11
Nd  0.0000  0.8408  0.1592  8 Y 3.73-3.75, 5 Nd 3.73-4.11
Pm  0.5000  0.2441  0.4456  6 Nd 3.33-3.44, 3 Y 3.58-3.71
Pm  0.5000  0.5544  0.7559  6 Nd 3.33-3.44, 3 Y 3.58-3.71
Pm  0.5000  0.7559  0.5544  6 Nd 3.33-3.44, 3 Y 3.58-3.71
Pm  0.5000  0.4456  0.2441  6 Nd 3.33-3.44, 3 Y 3.58-3.71
Y  0.5000  0.1633  0.6336  3 Y 3.47-3.73, 8 Nd 3.57-3.75, 1 Pm 3.58
Y  0.5000  0.8367  0.3664  3 Y 3.47-3.73, 8 Nd 3.57-3.75, 1 Pm 3.58
Y  0.5000  0.3664  0.8367  3 Y 3.47-3.73, 8 Nd 3.57-3.75, 1 Pm 3.58
Y  0.5000  0.9340  0.7878  8 Nd 3.56-3.75, 1 Pm 3.59, 3 Y 3.73-3.77
Y  0.5000  0.5000  0.5000  4 Pm 3.71, 2 Y 3.73, 8 Nd 3.91-4.03
Y  0.5000  0.7878  0.9340  8 Nd 3.56-3.75, 1 Pm 3.59, 3 Y 3.73-3.77
Y  0.5000  0.0660  0.2122  8 Nd 3.56-3.75, 1 Pm 3.59, 3 Y 3.73-3.77
Y  0.5000  0.6336  0.1633  3 Y 3.47-3.73, 8 Nd 3.57-3.75, 1 Pm 3.58
Y  0.5000  0.2122  0.0660  8 Nd 3.56-3.75, 1 Pm 3.59, 3 Y 3.73-3.77

Results
* energy: -5.349 eV/atom
* energy of formation: 0.05 eV/atom
* total magnetization: 0.0 μB/cell


PmNd12Y6 | GGA-PBE | optimized geometry

a = 8.9110 Å, b = 8.9110 Å, c = 8.9110 Å
α = 99.34°, β = 99.34°, γ = 99.34°
Closest atoms and distances in Å follow each position.
Fractional coordinates of all 19 atoms:
Y  0.0996  0.6641  0.0996  3 Y 3.23-3.61, 1 Pm 3.46, 2 Nd 3.50
Y  0.9004  0.9004  0.3359  3 Y 3.23-3.61, 1 Pm 3.46, 2 Nd 3.50
Y  0.6641  0.0996  0.0996  3 Y 3.23-3.61, 1 Pm 3.46, 2 Nd 3.50
Y  0.9004  0.3359  0.9004  3 Y 3.23-3.61, 1 Pm 3.46, 2 Nd 3.50
Y  0.3359  0.9004  0.9004  3 Y 3.23-3.61, 1 Pm 3.46, 2 Nd 3.50
Y  0.0996  0.0996  0.6641  3 Y 3.23-3.61, 1 Pm 3.46, 2 Nd 3.50
Nd  0.5000  0.7568  0.2432  6 Nd 3.42-3.60, 4 Y 3.50-3.68
Nd  0.7568  0.5000  0.2432  6 Nd 3.42-3.60, 4 Y 3.50-3.68
Nd  0.0795  0.3526  0.3526  6 Nd 3.42-3.71
Nd  0.3526  0.0795  0.3526  6 Nd 3.42-3.71
Nd  0.6474  0.9205  0.6474  6 Nd 3.42-3.71
Nd  0.3526  0.3526  0.0795  6 Nd 3.42-3.71
Nd  0.5000  0.2432  0.7568  6 Nd 3.42-3.60, 4 Y 3.50-3.68
Nd  0.2432  0.7568  0.5000  6 Nd 3.42-3.60, 4 Y 3.50-3.68
Nd  0.7568  0.2432  0.5000  6 Nd 3.42-3.60, 4 Y 3.50-3.68
Nd  0.6474  0.6474  0.9205  6 Nd 3.42-3.71
Nd  0.2432  0.5000  0.7568  6 Nd 3.42-3.60, 4 Y 3.50-3.68
Nd  0.9205  0.6474  0.6474  6 Nd 3.42-3.71
Pm  0.0000  0.0000  0.0000  6 Y 3.46

Results
* energy: -5.114 eV/atom
* energy of formation: 0.19 eV/atom
* excess energy over the best structure of this formula in the dataset: 0.0000 eV/atom
* total magnetization: 0.0 μB/cell


Pm2Nd3Y2 | GGA-PBE | optimized geometry

a = 3.5854 Å, b = 13.3218 Å, c = 5.6539 Å
α = 77.73°, β = 90.01°, γ = 113.81°
Closest atoms and distances in Å follow each position.
Fractional coordinates of all 7 atoms:
Nd  0.3307  0.5537  0.7232  4 Y 3.41-3.65, 6 Nd 3.58-3.59
Nd  0.0000  0.0000  0.0000  2 Y 3.39, 2 Nd 3.59
Nd  0.6693  0.4463  0.2768  4 Y 3.41-3.65, 6 Nd 3.58-3.59
Y  0.5710  0.7142  0.1426  5 Nd 3.39-3.65, 2 Y 3.59, 4 Pm 3.68
Y  0.4290  0.2858  0.8574  5 Nd 3.39-3.65, 2 Y 3.59, 4 Pm 3.68
Pm  0.2655  0.8438  0.5779  3 Pm 3.59-3.70, 4 Y 3.68, 6 Nd 3.82-3.88
Pm  0.7345  0.1562  0.4221  3 Pm 3.59-3.70, 4 Y 3.68, 6 Nd 3.82-3.88

Results
* energy: -5.199 eV/atom
* energy of formation: 0.05 eV/atom
* excess energy over the best structure of this formula in the dataset: 0.0000 eV/atom
* total magnetization: 0.0 μB/cell